Compound: Ac4Ge3Au
Source: the Alexandria database
Functional: PBE
Structure: optimized geometry

* Fermi-level density of states: 0.832 states/eV/atom
* space-group type: Pmm2, No. 25
* energy of formation: -0.712 eV per atom

Geometry as POSCAR:
```
Ac4Ge3Au
1.0
4.632 0.000 0.000
0.000 4.440 0.000
0.000 0.000 11.929
Ac Ge Au
4 3 1
Direct
0.500 0.500 0.361
0.000 0.500 0.861
0.000 0.000 0.136
0.500 0.000 0.640
0.000 0.500 0.575
0.000 0.000 0.426
0.500 0.000 0.922
0.500 0.500 0.078
```



Compound: Ac3Ge2Au2
Source: the Alexandria database
Functional: PBE
Structure: optimized geometry

* Fermi-level density of states: 0.640 states/eV/atom
* space-group type: C2/m, No. 12
* energy of formation: -0.761 eV per atom

Geometry as POSCAR:
```
Ac3Ge2Au2
1.0
-2.861 3.724 -0.037
-0.145 -3.128 -5.421
-4.858 -3.679 5.240
Ac Ge Au
3 2 2
Direct
0.322 0.645 0.353
0.678 0.355 0.647
0.500 0.000 0.000
0.958 0.916 0.639
0.042 0.084 0.361
0.823 0.646 0.075
0.177 0.354 0.925
```